CsLa2Cu3Te4S (GGA-PBE, relaxed); calculated total energy = -98.6 eV per cell; total magnetic moment = 0.004 Bohr magnetons per cell
1.0
2.200 -7.883 0.000
2.200 7.883 0.000
0.000 0.000 18.623
Cs La Cu Te S
2 4 6 8 2
Direct
0.072 0.928 0.750 Cs
0.928 0.072 0.250 Cs
0.197 0.803 0.100 La
0.197 0.803 0.400 La
0.803 0.197 0.600 La
0.803 0.197 0.900 La
0.333 0.667 0.750 Cu
0.417 0.583 0.020 Cu
0.417 0.583 0.480 Cu
0.583 0.417 0.520 Cu
0.583 0.417 0.980 Cu
0.667 0.333 0.250 Cu
0.157 0.843 0.568 Te
0.157 0.843 0.932 Te
0.447 0.553 0.620 Te
0.447 0.553 0.880 Te
0.553 0.447 0.120 Te
0.553 0.447 0.380 Te
0.843 0.157 0.068 Te
0.843 0.157 0.432 Te
0.226 0.774 0.250 S
0.774 0.226 0.750 S